Entry 1:
Below is Tb4BeNi3 after structural relaxation, with properties calculated at the PBE level.

Computed properties:
electronic total energy: -5.27 eV per atom
energy of formation from the pure elements: -0.32 eV/atom
total moment: 0.00 μB per atom

Structure (CIF):
```
data_Tb4BeNi3
_chemical_formula_sum 'Tb4 Be1 Ni3'
_space_group_name_H-M_alt 'P m m 2'
_space_group_IT_number 25
_space_group_name_Hall 'P 2 -2'
_cell_length_a 3.772
_cell_length_b 4.192
_cell_length_c 10.319
_cell_angle_alpha 90.00
_cell_angle_beta 90.00
_cell_angle_gamma 90.00
loop_
_atom_site_label
_atom_site_type_symbol
_atom_site_fract_x
_atom_site_fract_y
_atom_site_fract_z
Tb1 Tb 0.000 0.000 0.000
Tb2 Tb 0.000 0.500 0.274
Tb3 Tb 0.500 0.000 0.493
Tb4 Tb 0.500 0.500 0.778
Be1 Be 0.000 0.000 0.695
Ni1 Ni 0.000 0.500 0.581
Ni2 Ni 0.500 0.000 0.210
Ni3 Ni 0.500 0.500 0.066
```

Entry 2:
Below is TbBe12Ni6 after structural relaxation, with properties calculated at the PBE level.

Computed properties:
electronic total energy: -4.53 eV per atom
energy of formation from the pure elements: -0.11 eV/atom
total moment: 0.00 μB per atom

Structure (CIF):
```
data_TbBe12Ni6
_chemical_formula_sum 'Tb3 Be36 Ni18'
_space_group_name_H-M_alt 'R -3 m'
_space_group_IT_number 166
_space_group_name_Hall '-R 3 2"'
_cell_length_a 9.4604
_cell_length_b 9.4604
_cell_length_c 7.7590
_cell_angle_alpha 90.00
_cell_angle_beta 90.00
_cell_angle_gamma 120.00
loop_
_atom_site_label
_atom_site_type_symbol
_atom_site_fract_x
_atom_site_fract_y
_atom_site_fract_z
Tb1 Tb 0.0000 0.0000 0.0000
Be1 Be 0.0000 0.3876 0.5000
Be2 Be 0.0987 0.1975 0.3143
Ni1 Ni 0.0528 0.5264 0.2569
```

Entry 3:
Below is TbBe2Ni3 after structural relaxation, with properties calculated at the PBE level.

Computed properties:
electronic total energy: -5.38 eV per atom
energy of formation from the pure elements: -0.48 eV/atom
total moment: 0.00 μB per atom

Structure (CIF):
```
data_TbBe2Ni3
_chemical_formula_sum 'Tb1 Be2 Ni3'
_space_group_name_H-M_alt 'P 6/m m m'
_space_group_IT_number 191
_space_group_name_Hall '-P 6 2'
_cell_length_a 5.0274
_cell_length_b 5.0274
_cell_length_c 3.4169
_cell_angle_alpha 90.00
_cell_angle_beta 90.00
_cell_angle_gamma 120.00
loop_
_atom_site_label
_atom_site_type_symbol
_atom_site_fract_x
_atom_site_fract_y
_atom_site_fract_z
Tb1 Tb 0.0000 0.0000 0.0000
Be1 Be 0.3333 0.6667 0.0000
Ni1 Ni 0.0000 0.5000 0.5000
```

Entry 4:
Below is TbBe3Ni after structural relaxation, with properties calculated at the PBE level.

Computed properties:
electronic total energy: -4.42 eV per atom
energy of formation from the pure elements: -0.10 eV/atom
total moment: 0.00 μB per atom

Structure (CIF):
```
data_TbBe3Ni
_chemical_formula_sum 'Tb1 Be3 Ni1'
_space_group_name_H-M_alt 'P m -3 m'
_space_group_IT_number 221
_space_group_name_Hall '-P 4 2 3'
_cell_length_a 4.094
_cell_length_b 4.094
_cell_length_c 4.094
_cell_angle_alpha 90.00
_cell_angle_beta 90.00
_cell_angle_gamma 90.00
loop_
_atom_site_label
_atom_site_type_symbol
_atom_site_fract_x
_atom_site_fract_y
_atom_site_fract_z
Tb1 Tb 0.000 0.000 0.000
Be1 Be 0.000 0.500 0.500
Ni1 Ni 0.500 0.500 0.500
```

Entry 5:
Below is TbBe4Ni4 after structural relaxation, with properties calculated at the PBE level.

Computed properties:
electronic total energy: -5.01 eV per atom
energy of formation from the pure elements: -0.27 eV/atom
total moment: 0.00 μB per atom

Structure (CIF):
```
data_TbBe4Ni4
_chemical_formula_sum 'Tb2 Be8 Ni8'
_space_group_name_H-M_alt 'P 42/n'
_space_group_IT_number 86
_cell_length_a 7.273
_cell_length_b 7.273
_cell_length_c 4.092
_cell_angle_alpha 90.00
_cell_angle_beta 90.00
_cell_angle_gamma 90.00
loop_
_space_group_symop_operation_xyz
'x,y,z'
'-x,-y,-z'
'-y,x+1/2,z+1/2'
'y,-x+1/2,-z+1/2'
'-x+1/2,-y+1/2,z'
'x+1/2,y+1/2,-z'
'y+1/2,-x,z+1/2'
'-y+1/2,x,-z+1/2'
loop_
_atom_site_label
_atom_site_type_symbol
_atom_site_fract_x
_atom_site_fract_y
_atom_site_fract_z
Tb1 Tb 0.250 0.250 0.250
Be1 Be 0.049 0.907 0.175
Ni1 Ni 0.128 0.871 0.664
```

Entry 6:
Below is TbTmBeNi after structural relaxation, with properties calculated at the PBE level.

Computed properties:
electronic total energy: -4.80 eV per atom
energy of formation from the pure elements: -0.15 eV/atom
total moment: 0.00 μB per atom

Structure (CIF):
```
data_TbTmBeNi
_chemical_formula_sum 'Tb4 Tm4 Be4 Ni4'
_space_group_name_H-M_alt 'F -4 3 m'
_space_group_IT_number 216
_space_group_name_Hall 'F -4 2 3'
_cell_length_a 6.749
_cell_length_b 6.749
_cell_length_c 6.749
_cell_angle_alpha 90.00
_cell_angle_beta 90.00
_cell_angle_gamma 90.00
loop_
_atom_site_label
_atom_site_type_symbol
_atom_site_fract_x
_atom_site_fract_y
_atom_site_fract_z
Tb1 Tb 0.000 0.000 0.000
Tm1 Tm 0.000 0.000 0.500
Be1 Be 0.250 0.250 0.250
Ni1 Ni 0.250 0.250 0.750
```